Entry 1:
Below is a geometry-optimized PrErH2Br4 structure, with properties calculated at the PBE level.

Energy ... -4.3481 eV/atom

Lattice parameters (Å, degrees): 3.916 3.916 14.865 90.00 90.00 120.00
Positions (direct):
Pr (0.000, 0.000, 0.000)
Er (0.000, 0.000, 0.500)
H (0.333, 0.667, 0.000)
H (0.667, 0.333, 0.500)
Br (0.333, 0.667, 0.375)
Br (0.333, 0.667, 0.625)
Br (0.667, 0.333, 0.134)
Br (0.667, 0.333, 0.866)

---

Entry 2:
Below is a geometry-optimized InCu9 structure, with properties calculated at the PBE level.

Excess energy over the best structure of this formula in the dataset ... 3.94 kJ per mole of atoms

Lattice parameters (Å, degrees): 2.655 2.655 45.983 90.00 90.00 90.00
Positions (direct):
In (0.250, 0.250, 0.138)
In (0.750, 0.750, 0.862)
Cu (0.250, 0.250, 0.225)
Cu (0.250, 0.250, 0.299)
Cu (0.250, 0.250, 0.373)
Cu (0.250, 0.250, 0.446)
Cu (0.250, 0.250, 0.518)
Cu (0.250, 0.250, 0.591)
Cu (0.250, 0.250, 0.664)
Cu (0.250, 0.250, 0.738)
Cu (0.250, 0.250, 0.812)
Cu (0.750, 0.750, 0.188)
Cu (0.750, 0.750, 0.262)
Cu (0.750, 0.750, 0.336)
Cu (0.750, 0.750, 0.409)
Cu (0.750, 0.750, 0.482)
Cu (0.750, 0.750, 0.554)
Cu (0.750, 0.750, 0.627)
Cu (0.750, 0.750, 0.701)
Cu (0.750, 0.750, 0.775)

---

Entry 3:
Below is a geometry-optimized Er2LuIn3Ni3 structure, with properties calculated at the PBE level.

Energy ... -4.7984 eV/atom

Lattice parameters (Å, degrees): 3.758 7.389 7.389 119.96 90.00 90.00
Positions (direct):
Er (0.000, 0.205, 0.795)
Er (0.000, 0.795, 0.205)
Lu (0.000, 0.385, 0.385)
In (0.500, 0.052, 0.052)
In (0.500, 0.539, 0.794)
In (0.500, 0.794, 0.539)
Ni (0.000, 0.794, 0.794)
Ni (0.500, 0.129, 0.461)
Ni (0.500, 0.461, 0.129)

---

Entry 4:
Below is a geometry-optimized YErSi2Pt4 structure, with properties calculated at the PBE level.

Energy ... -6.9292 eV/atom

Lattice parameters (Å, degrees): 7.099 5.442 5.442 41.61 90.00 90.00
Positions (direct):
Y (0.000, 0.000, 0.000)
Er (0.500, 0.104, 0.104)
Si (0.000, 0.283, 0.283)
Si (0.500, 0.822, 0.822)
Pt (0.201, 0.695, 0.695)
Pt (0.301, 0.409, 0.409)
Pt (0.699, 0.409, 0.409)
Pt (0.799, 0.695, 0.695)

---

Entry 5:
Below is a geometry-optimized NdYNb2Si2 structure, with properties calculated at the PBE level.

Energy ... -7.6447 eV/atom

Lattice parameters (Å, degrees): 4.031 4.031 7.978 90.00 90.00 90.00
Positions (direct):
Nd (0.000, 0.000, 0.000)
Y (0.500, 0.500, 0.295)
Nb (0.000, 0.500, 0.641)
Nb (0.500, 0.000, 0.641)
Si (0.000, 0.000, 0.409)
Si (0.500, 0.500, 0.872)

---

Entry 6:
Below is a geometry-optimized NdCoNiAs2 structure, with properties calculated at the PBE level.

Excess energy over the best structure of this formula in the dataset ... 2.20 kJ per mole of atoms

Lattice parameters (Å, degrees): 4.170 4.170 9.555 90.00 90.00 90.00
Positions (direct):
Nd (0.250, 0.250, 0.248)
Nd (0.750, 0.750, 0.752)
Co (0.250, 0.750, 0.000)
Co (0.750, 0.250, 0.000)
Ni (0.250, 0.250, 0.622)
Ni (0.750, 0.750, 0.378)
As (0.250, 0.250, 0.873)
As (0.250, 0.750, 0.500)
As (0.750, 0.250, 0.500)
As (0.750, 0.750, 0.127)

---

Entry 7:
Below is a geometry-optimized Ta3Ni2 structure, with properties calculated at the PBE level.

Calculated formation energy ... -6.9 kJ per mole of atoms

Lattice parameters (Å, degrees): 9.521 9.521 5.068 90.00 90.00 90.00
Positions (direct):
Ta (0.000, 0.000, 0.000)
Ta (0.038, 0.361, 0.500)
Ta (0.139, 0.538, 0.000)
Ta (0.187, 0.813, 0.253)
Ta (0.187, 0.813, 0.747)
Ta (0.313, 0.313, 0.247)
Ta (0.313, 0.313, 0.753)
Ta (0.361, 0.038, 0.500)
Ta (0.462, 0.861, 0.000)
Ta (0.500, 0.500, 0.500)
Ta (0.538, 0.139, 0.000)
Ta (0.639, 0.962, 0.500)
Ta (0.687, 0.687, 0.247)
Ta (0.687, 0.687, 0.753)
Ta (0.813, 0.187, 0.253)
Ta (0.813, 0.187, 0.747)
Ta (0.861, 0.462, 0.000)
Ta (0.962, 0.639, 0.500)
Ni (0.070, 0.259, 0.000)
Ni (0.097, 0.097, 0.500)
Ni (0.241, 0.570, 0.500)
Ni (0.259, 0.070, 0.000)
Ni (0.403, 0.597, 0.000)
Ni (0.430, 0.759, 0.500)
Ni (0.570, 0.241, 0.500)
Ni (0.597, 0.403, 0.000)
Ni (0.741, 0.930, 0.000)
Ni (0.759, 0.430, 0.500)
Ni (0.903, 0.903, 0.500)
Ni (0.930, 0.741, 0.000)

---

Entry 8:
Below is a geometry-optimized ZnFeCu2 structure, with properties calculated at the PBE level.

Calculated formation energy ... 10.6 kJ per mole of atoms

Lattice parameters (Å, degrees): 4.120 4.120 4.120 60.00 60.00 60.00
Positions (direct):
Zn (0.000, 0.000, 0.000)
Fe (0.750, 0.750, 0.750)
Cu (0.250, 0.250, 0.250)
Cu (0.500, 0.500, 0.500)

---

Please write out number 4 again, unchanged.
Below is a geometry-optimized YErSi2Pt4 structure, with properties calculated at the PBE level.

Energy ... -6.9292 eV/atom

Lattice parameters (Å, degrees): 7.099 5.442 5.442 41.61 90.00 90.00
Positions (direct):
Y (0.000, 0.000, 0.000)
Er (0.500, 0.104, 0.104)
Si (0.000, 0.283, 0.283)
Si (0.500, 0.822, 0.822)
Pt (0.201, 0.695, 0.695)
Pt (0.301, 0.409, 0.409)
Pt (0.699, 0.409, 0.409)
Pt (0.799, 0.695, 0.695)